Record 1
Tb4Co3 | Alexandria | PBE | relaxed; E_form = -0.1538 eV per atom; density of states at the Fermi level = 0.735 states/eV/atom
1.0
11.344 0.000 0.000
-5.672 9.824 0.000
0.000 0.000 4.014
Tb Co
12 9
Direct
0.028 0.248 0.250
0.135 0.620 0.251
0.220 0.972 0.250
0.248 0.220 0.750
0.380 0.515 0.251
0.485 0.865 0.251
0.515 0.135 0.749
0.620 0.485 0.749
0.752 0.780 0.250
0.780 0.028 0.750
0.865 0.380 0.749
0.972 0.752 0.750
0.000 0.000 0.500
0.159 0.439 0.749
0.280 0.841 0.749
0.333 0.667 0.752
0.439 0.280 0.251
0.561 0.720 0.749
0.667 0.333 0.248
0.720 0.159 0.251
0.841 0.561 0.251


Record 2
Tb3Co | Alexandria | PBE | relaxed; E_form = -0.0592 eV per atom; density of states at the Fermi level = 0.758 states/eV/atom
1.0
-5.733 5.733 3.085
5.733 -5.733 3.085
5.733 5.733 -3.085
Tb Co
12 4
Direct
0.000 0.359 0.359
0.000 0.641 0.641
0.109 0.512 0.000
0.157 0.157 0.809
0.349 0.349 0.191
0.359 0.000 0.359
0.488 0.488 0.598
0.512 0.109 0.000
0.641 0.000 0.641
0.651 0.843 0.000
0.843 0.651 0.000
0.891 0.891 0.402
0.208 0.500 0.708
0.500 0.208 0.708
0.500 0.792 0.292
0.792 0.500 0.292